(1)
## TcIrOs (PBE)

Data for a relaxed TcIrOs crystal.

Output
SG	Imm2 (44)
E_tot	-10.191	eV/atom
ΔE to the lowest computed polymorph	20	meV/atom
density of states at the Fermi level	2.54	states/eV per cell

abc: 4.7339 4.7339 4.7339
angles: 146.61 131.51 60.15
Positions (direct):
Ir (0.9999, 0.9999, 0.0000)
Os (0.3313, 0.3313, 0.0000)
Tc (0.6688, 0.6688, 0.0000)

=====

(2)
## LiHfTi2 (PBE)

Data for a relaxed LiHfTi2 crystal.

Output
SG	I-42d (122)
E_tot	-6.340	eV/atom
ΔE to the lowest computed polymorph	174	meV/atom
density of states at the Fermi level	8.07	states/eV per cell

abc: 3.8523 3.8523 10.2216
angles: 79.14 79.14 90.00
Each line ends with the local moment (μB).
Positions (direct):
Ti (0.8750, 0.8740, 0.7500)  0.53
Li (0.5000, 0.5000, 0.0000)  0.00
Hf (0.7500, 0.2500, 0.5000)  0.01
Ti (0.6240, 0.1250, 0.2500)  0.51
Hf (0.0000, 0.0000, 0.0000)  0.00
Ti (0.1260, 0.6250, 0.2500)  0.49
Li (0.2500, 0.7500, 0.5000)  0.00
Ti (0.3750, 0.3760, 0.7500)  0.54